[1]
DFT (GGA-PBE) results for a relaxed structure of Mn2NbRuC.

Calculated values
DOS at the Fermi energy	0.78	states/eV per atom
size of the total moment	0.440	μB per formula unit
formation energy from the elements	-92	meV/atom

Lattice parameters (Å, degrees): 3.871 3.871 4.003 90.00 90.00 90.00
Space group P4/mmm (No. 123)
One atom of each set of equivalent atoms:
Mn: 0.000 0.500 0.000 x2
Nb: 0.000 0.000 0.500 x1
Ru: 0.500 0.500 0.500 x1
C: 0.500 0.500 0.000 x1

=====

[2]
DFT (GGA-PBE) results for a relaxed structure of PIrF.

Calculated values
polymorph energy (0 for the lowest one)	300	meV/atom
DOS at the Fermi energy	0.24	states/eV per atom
formation energy (no corrections)	-2.1	eV/f.u.
size of the total moment	0.000	μB per formula unit

Lattice parameters (Å, degrees): 3.423 3.426 5.625 105.54 91.47 119.94
Space group P1 (No. 1)
One atom of each set of equivalent atoms:
P: 0.000 0.000 0.000 x1
Ir: 0.598 0.213 0.802 x1
F: 0.461 0.972 0.429 x1